Ac2MnCuO5 | PBE with a Hubbard U | optimized geometry

```
9
Lattice="3.844 0.000 0.000 0.000 3.844 0.000 0.000 0.000 8.876" Properties=species:S:1:pos:R:3 pbc="T T T"
Ac 0.000 0.000 1.929
Ac 0.000 0.000 6.947
Mn 1.922 1.922 4.438
Cu 1.922 1.922 0.000
O 0.000 0.000 4.438
O 0.000 1.922 0.000
O 1.922 0.000 0.000
O 1.922 1.922 2.451
O 1.922 1.922 6.425
```

## Properties
Electronic total energy in eV per cell: -65.0
Volume in Å³/cell: 131